Entry from OQMD: a geometry-optimized Dy2ErSn3PdPt2 structure (GGA-PBE).

```
Dy2ErSn3PdPt2
1.0
3.995 0.000 0.000
0.000 6.515 3.764
0.000 -6.515 3.764
Dy Er Pd Pt Sn
2 1 1 2 3
Direct
0.000 0.408 0.000 Dy
0.000 0.000 0.408 Dy
0.000 0.592 0.592 Er
0.000 0.000 0.000 Pd
0.500 0.667 0.334 Pt
0.500 0.334 0.667 Pt
0.500 0.258 0.258 Sn
0.500 0.000 0.742 Sn
0.500 0.742 0.000 Sn
```

Its calculated total energy is -5.834 eV per atom.

***

Entry from OQMD: a geometry-optimized MgZnGa2 structure (GGA-PBE).

```
MgZnGa2
1.0
0.617 3.662 2.841
-2.162 0.135 4.144
2.468 -0.488 3.942
Ga Mg Zn
2 1 1
Direct
0.000 0.000 0.000 Ga
0.750 0.750 0.750 Ga
0.500 0.500 0.500 Mg
0.250 0.250 0.250 Zn
```

Its calculated total energy is -2.217 eV per atom.

***

Entry from OQMD: a geometry-optimized CsPmIr structure (GGA-PBE).

```
CsPmIr
1.0
0.000 3.611 3.611
3.611 0.000 3.611
3.611 3.611 0.000
Cs Ir Pm
1 1 1
Direct
0.750 0.750 0.750 Cs
0.000 0.000 0.000 Ir
0.250 0.250 0.250 Pm
```

Its calculated total energy is -4.397 eV per atom.

***

Entry from OQMD: a geometry-optimized RbTmCdS3 structure (GGA-PBE).

```
RbTmCdS3
1.0
-5.718 0.169 -6.077
2.808 -1.315 -2.679
0.072 -9.450 4.716
Cd Rb S Tm
2 2 6 2
Direct
0.917 0.750 0.386 Cd
0.083 0.250 0.614 Cd
0.260 0.250 0.270 Rb
0.740 0.750 0.730 Rb
0.466 0.750 0.134 S
0.907 0.750 0.148 S
0.761 0.250 0.433 S
0.239 0.750 0.567 S
0.093 0.250 0.852 S
0.534 0.250 0.866 S
0.679 0.250 0.129 Tm
0.321 0.750 0.871 Tm
```

Its calculated total energy is -4.511 eV per atom.

***

Entry from OQMD: a geometry-optimized BeCdPdPb structure (GGA-PBE).

```
BeCdPdPb
1.0
-1.689 -3.613 2.562
-4.664 -0.834 0.134
-1.789 -3.814 -2.173
Be Cd Pb Pd
1 1 1 1
Direct
0.750 0.750 0.750 Be
0.000 0.000 0.000 Cd
0.500 0.500 0.500 Pb
0.250 0.250 0.250 Pd
```

Its calculated total energy is -3.125 eV per atom.

***

Entry from OQMD: a geometry-optimized Fe3Te2Cl2 structure (GGA-PBE).

```
Fe3Te2Cl2
1.0
-4.161 4.161 4.161
4.161 -4.161 4.161
4.161 4.161 -4.161
Cl Fe Te
4 6 4
Direct
0.069 0.500 0.000 Cl
0.500 0.000 0.069 Cl
0.431 0.431 0.431 Cl
0.000 0.069 0.500 Cl
0.983 0.733 0.250 Fe
0.767 0.750 0.517 Fe
0.250 0.983 0.733 Fe
0.517 0.767 0.750 Fe
0.750 0.517 0.767 Fe
0.733 0.250 0.983 Fe
0.525 0.500 0.000 Te
0.000 0.525 0.500 Te
0.500 0.000 0.525 Te
0.975 0.975 0.975 Te
```

Its calculated total energy is -5.108 eV per atom.

***

Entry from OQMD: a geometry-optimized LiLa2NiSn4 structure (GGA-PBE).

```
LiLa2NiSn4
1.0
-2.555 -3.626 -1.047
-0.605 -2.310 9.472
-4.173 0.391 8.823
La Li Ni Sn
2 1 1 4
Direct
0.000 0.394 0.394 La
0.500 0.609 0.609 La
0.000 0.175 0.175 Li
0.500 0.821 0.821 Ni
0.000 0.042 0.042 Sn
0.500 0.253 0.253 Sn
0.000 0.754 0.754 Sn
0.500 0.952 0.952 Sn
```

Its calculated total energy is -4.809 eV per atom.

***

Entry from OQMD: a geometry-optimized Be2Pt structure (GGA-PBE).

```
Be2Pt
1.0
-0.453 -3.314 2.920
-3.805 -2.280 0.198
-0.145 -4.204 -1.419
Be Pt
4 2
Direct
0.625 0.625 0.125 Be
0.625 0.125 0.625 Be
0.125 0.625 0.625 Be
0.625 0.625 0.625 Be
0.000 0.000 0.000 Pt
0.250 0.250 0.250 Pt
```

Its calculated total energy is -4.986 eV per atom.

***

Entry from OQMD: a geometry-optimized TcAg2As structure (GGA-PBE).

```
TcAg2As
1.0
-3.033 -3.083 -1.276
-3.223 1.097 -2.956
0.113 -1.677 -4.184
Ag As Tc
2 1 1
Direct
0.000 0.000 0.000 Ag
0.750 0.750 0.750 Ag
0.500 0.500 0.500 As
0.250 0.250 0.250 Tc
```

Its calculated total energy is -4.725 eV per atom.